# 1
Below is a geometry-optimized GaAsSe2Br structure, with properties calculated at the GGA-PBE level.

The space group is P4/mmm (No. 123) and the conventional cell measures 4.904, 4.904 and 5.294 Å, with angles of 90.00, 90.00 and 90.00 degrees. The inequivalent atoms are Ga at (0.000, 0.000, 0.000), As at (0.000, 0.000, 0.500), Se at (0.000, 0.500, 0.000) and Br at (0.500, 0.500, 0.500).

The value obtained for the uncorrected energy is -2.7707 eV/atom. The total magnetic moment is 0.0 μB/cell.


# 2
Below is a geometry-optimized GaSiAsBr2 structure, with properties calculated at the GGA-PBE level.

The space group is P4/mmm (No. 123) and the conventional cell measures 5.308, 5.308 and 4.831 Å, with angles of 90.00, 90.00 and 90.00 degrees. The inequivalent atoms are Ga at (0.000, 0.000, 0.000), Si at (0.500, 0.500, 0.500), As at (0.500, 0.500, 0.000) and Br at (0.000, 0.500, 0.500).

The value obtained for the uncorrected energy is -3.1262 eV/atom. The total magnetic moment is 0.7 μB/cell.


# 3
Below is a geometry-optimized GaSiAsBr2 structure, with properties calculated at the GGA-PBE level.

The space group is P4/mmm (No. 123) and the conventional cell measures 5.057, 5.057 and 5.200 Å, with angles of 90.00, 90.00 and 90.00 degrees. The inequivalent atoms are Ga at (0.000, 0.000, 0.000), Si at (0.500, 0.500, 0.500), As at (0.000, 0.000, 0.500) and Br at (0.000, 0.500, 0.000).

The value obtained for the uncorrected energy is -2.7856 eV/atom. The total magnetic moment is 0.0 μB/cell.


# 4
Below is a geometry-optimized GaSnAsBr2 structure, with properties calculated at the GGA-PBE level.

The space group is P4/mmm (No. 123) and the conventional cell measures 5.710, 5.710 and 5.341 Å, with angles of 90.00, 90.00 and 90.00 degrees. The inequivalent atoms are Ga at (0.000, 0.000, 0.000), Sn at (0.500, 0.500, 0.500), As at (0.500, 0.500, 0.000) and Br at (0.000, 0.500, 0.500).

The value obtained for the uncorrected energy is -2.9551 eV/atom. The total magnetic moment is 1.0 μB/cell.


# 5
Below is a geometry-optimized GaSnAs2Br structure, with properties calculated at the GGA-PBE level.

The space group is P4/mmm (No. 123) and the conventional cell measures 5.289, 5.289 and 5.821 Å, with angles of 90.00, 90.00 and 90.00 degrees. The inequivalent atoms are Ga at (0.000, 0.000, 0.000), Sn at (0.500, 0.500, 0.500), As at (0.000, 0.500, 0.500) and Br at (0.500, 0.500, 0.000).

The value obtained for the uncorrected energy is -3.1329 eV/atom. The total magnetic moment is 1.3 μB/cell.


# 6
Below is a geometry-optimized GaSnAs2Br structure, with properties calculated at the GGA-PBE level.

The space group is P4/mmm (No. 123) and the conventional cell measures 4.955, 4.955 and 5.290 Å, with angles of 90.00, 90.00 and 90.00 degrees. The inequivalent atoms are Ga at (0.000, 0.000, 0.000), Sn at (0.500, 0.500, 0.500), As at (0.000, 0.500, 0.000) and Br at (0.000, 0.000, 0.500).

The value obtained for the uncorrected energy is -3.2788 eV/atom. The total magnetic moment is 0.0 μB/cell.